1.
# ZrAlAu | Alexandria via LeMat-Bulk | meta-GGA SCAN | single point on PBEsol structure
data_ZrAlAu
_cell_length_a 3.069
_cell_length_b 3.069
_cell_length_c 11.220
_cell_angle_alpha 90.00
_cell_angle_beta 90.00
_cell_angle_gamma 90.00
_space_group_name_H-M_alt 'I 4 m m'
_space_group_IT_number 107
_space_group_name_Hall 'I 4 -2'
loop_
_atom_site_label
_atom_site_type_symbol
_atom_site_fract_x
_atom_site_fract_y
_atom_site_fract_z
Zr1 Zr 0.000 0.000 0.000
Al1 Al 0.000 0.000 0.327
Au1 Au 0.000 0.000 0.685
# **Energy of formation from the pure elements**: -0.69 eV/atom

2.
# Cd2CuNi | Alexandria via LeMat-Bulk | meta-GGA SCAN | single point on PBEsol structure
data_Cd2CuNi
_cell_length_a 4.360
_cell_length_b 4.360
_cell_length_c 3.128
_cell_angle_alpha 90.00
_cell_angle_beta 90.00
_cell_angle_gamma 90.00
_space_group_name_H-M_alt 'P 4/m m m'
_space_group_IT_number 123
_space_group_name_Hall '-P 4 2'
loop_
_atom_site_label
_atom_site_type_symbol
_atom_site_fract_x
_atom_site_fract_y
_atom_site_fract_z
Cd1 Cd 0.000 0.500 0.000
Cu1 Cu 0.000 0.000 0.500
Ni1 Ni 0.500 0.500 0.500
# **Excess energy over the best structure of this formula in the dataset**: 0.002 eV per atom
# **Energy of formation from the pure elements**: 0.09 eV/atom

3.
# Rb2NbAgS4 | Alexandria via LeMat-Bulk | meta-GGA SCAN | single point on PBEsol structure
data_Rb2NbAgS4
_cell_length_a 5.832
_cell_length_b 13.448
_cell_length_c 23.337
_cell_angle_alpha 90.00
_cell_angle_beta 90.00
_cell_angle_gamma 90.00
_space_group_name_H-M_alt 'F d d d'
_space_group_IT_number 70
loop_
_space_group_symop_operation_xyz
'x,y,z'
'-x,-y,-z'
'-x+1/4,-y+1/4,z'
'x+1/4,y+1/4,-z'
'x,-y+1/4,-z+1/4'
'-x,y+1/4,z+1/4'
'-x+1/4,y,-z+1/4'
'x+1/4,-y,z+1/4'
'x,y+1/2,z+1/2'
'-x,-y+1/2,-z+1/2'
'-x+1/4,-y+3/4,z+1/2'
'x+1/4,y+3/4,-z+1/2'
'x,-y+3/4,-z+3/4'
'-x,y+3/4,z+3/4'
'-x+1/4,y+1/2,-z+3/4'
'x+1/4,-y+1/2,z+3/4'
'x+1/2,y,z+1/2'
'-x+1/2,-y,-z+1/2'
'-x+3/4,-y+1/4,z+1/2'
'x+3/4,y+1/4,-z+1/2'
'x+1/2,-y+1/4,-z+3/4'
'-x+1/2,y+1/4,z+3/4'
'-x+3/4,y,-z+3/4'
'x+3/4,-y,z+3/4'
'x+1/2,y+1/2,z'
'-x+1/2,-y+1/2,-z'
'-x+3/4,-y+3/4,z'
'x+3/4,y+3/4,-z'
'x+1/2,-y+3/4,-z+1/4'
'-x+1/2,y+3/4,z+1/4'
'-x+3/4,y+1/2,-z+1/4'
'x+3/4,-y+1/2,z+1/4'
loop_
_atom_site_label
_atom_site_type_symbol
_atom_site_fract_x
_atom_site_fract_y
_atom_site_fract_z
Rb1 Rb 0.125 0.125 0.305
Nb1 Nb 0.125 0.125 0.125
Ag1 Ag 0.125 0.125 0.625
S1 S 0.096 0.274 0.432
# **Raw formation energy**: -1.17 eV per atom

4.
# LaTlPb2 | Alexandria via LeMat-Bulk | meta-GGA SCAN | single point on PBEsol structure
data_LaTlPb2
_cell_length_a 3.584
_cell_length_b 4.855
_cell_length_c 6.746
_cell_angle_alpha 90.00
_cell_angle_beta 90.00
_cell_angle_gamma 90.00
_space_group_name_H-M_alt 'P m m m'
_space_group_IT_number 47
_space_group_name_Hall '-P 2 2'
loop_
_atom_site_label
_atom_site_type_symbol
_atom_site_fract_x
_atom_site_fract_y
_atom_site_fract_z
La1 La 0.000 0.000 0.000
Tl1 Tl 0.000 0.000 0.500
Pb1 Pb 0.500 0.500 0.250
# **Energy of formation from the pure elements**: -0.42 eV/atom

5.
# YTcO2 | Alexandria via LeMat-Bulk | meta-GGA SCAN | single point on PBEsol structure
data_YTcO2
_cell_length_a 5.654
_cell_length_b 5.654
_cell_length_c 5.654
_cell_angle_alpha 90.00
_cell_angle_beta 90.00
_cell_angle_gamma 90.00
_space_group_name_H-M_alt 'F m -3 m'
_space_group_IT_number 225
_space_group_name_Hall '-F 4 2 3'
loop_
_atom_site_label
_atom_site_type_symbol
_atom_site_fract_x
_atom_site_fract_y
_atom_site_fract_z
Y1 Y 0.000 0.000 0.000
Tc1 Tc 0.000 0.000 0.500
O1 O 0.250 0.250 0.250
# **Raw formation energy**: -1.51 eV per atom

6.
# K3TlF6 | Alexandria via LeMat-Bulk | meta-GGA SCAN | single point on PBEsol structure
data_K3TlF6
_cell_length_a 9.090
_cell_length_b 9.090
_cell_length_c 9.090
_cell_angle_alpha 90.00
_cell_angle_beta 90.00
_cell_angle_gamma 90.00
_space_group_name_H-M_alt 'P n -3'
_space_group_IT_number 201
loop_
_space_group_symop_operation_xyz
'x,y,z'
'-x,-y,-z'
'-x+1/2,-y+1/2,z'
'x+1/2,y+1/2,-z'
'x,-y+1/2,-z+1/2'
'-x,y+1/2,z+1/2'
'-x+1/2,y,-z+1/2'
'x+1/2,-y,z+1/2'
'z,x,y'
'-z,-x,-y'
'z,-x+1/2,-y+1/2'
'-z,x+1/2,y+1/2'
'-z+1/2,x,-y+1/2'
'z+1/2,-x,y+1/2'
'-z+1/2,-x+1/2,y'
'z+1/2,x+1/2,-y'
'y,z,x'
'-y,-z,-x'
'-y+1/2,z,-x+1/2'
'y+1/2,-z,x+1/2'
'-y+1/2,-z+1/2,x'
'y+1/2,z+1/2,-x'
'y,-z+1/2,-x+1/2'
'-y,z+1/2,x+1/2'
loop_
_atom_site_label
_atom_site_type_symbol
_atom_site_fract_x
_atom_site_fract_y
_atom_site_fract_z
K1 K 0.000 0.000 0.000
K2 K 0.250 0.250 0.250
K3 K 0.250 0.250 0.750
Tl1 Tl 0.000 0.000 0.500
F1 F 0.042 0.556 0.771
# **Raw formation energy**: -2.57 eV per atom

no.,total DFT energy (no corrections) (eV for the cell shown),magnetic moment (μB per formula unit)
1,-219.35,0.001
2,-91.84,0.000
3,-1230.76,0.000
4,-268.71,0.000
5,-325.62,2.001
6,-577.21,0.002